# 1
## KBe2Ge2 (PBE)

Data for an optimized crystal structure of KBe2Ge2.

a b c (Å): 4.1125 4.1125 10.3294
angles (deg): 90.00 90.00 90.00
Closest atoms and distances in Å follow each position.
Space group I4/mmm (No. 139)
Asymmetric unit:
1 K 0.0000 0.0000 0.0000 [2 per cell]  8 Ge 3.20, 8 Be 3.30
2 Be 0.0000 0.5000 0.2500 [4 per cell]  4 Ge 2.41
3 Ge 0.0000 0.0000 0.3711 [4 per cell]  4 Be 2.41, 1 Ge 2.66

Results
Total moment in μB/cell: 0.00
D(E_F) in states/eV per cell: 2.769
ΔE_f in eV per atom: 0.110
DFT total energy in eV per formula unit: -17.2

---

# 2
## KBeGe2 (PBE)

Data for an optimized crystal structure of KBeGe2.

a b c (Å): 5.2613 5.2613 15.0453
angles (deg): 90.00 90.00 90.00
Closest atoms and distances in Å follow each position.
Space group I4_1/amd (No. 141, origin choice 2)
Asymmetric unit:
1 K 0.0000 0.2500 0.3750 [4 per cell]  8 Ge 3.49, 4 Be 3.72
2 Be 0.0000 0.2500 0.8750 [4 per cell]  4 Ge 2.29
3 Ge 0.0000 0.0000 0.0000 [8 per cell]  2 Be 2.29

Results
Total moment in μB/cell: 0.00
D(E_F) in states/eV per cell: 10.786
ΔE_f in eV per atom: 0.209
DFT total energy in eV per formula unit: -13.2